Record 1
Here is KFeCu2 after structural relaxation from the Alexandria database. Energies are from PBE.

Calculated values
The calculation puts the density of states at the Fermi level at 2.9 states/eV per cell. As for the volume: 68.6 Å³/cell. For the formation enthalpy at 0 K, the calculation gives 804 meV/atom.

Unit cell a=7.6928 b=5.0778 c=2.6624 alpha=89.94 beta=69.84 gamma=131.85
With the nearest neighbours (Å) after each atom.
Fractional positions:
Fe 0.0000 0.5000 0.5000  2 Fe 2.66, 8 Cu 2.87
Cu 0.5000 0.0000 0.5000  2 Cu 2.66, 4 Fe 2.87, 4 K 2.87
K 0.5000 0.5000 0.0000  2 K 2.66, 8 Cu 2.87
Cu 0.0000 0.0000 0.0000  2 Cu 2.66, 4 K 2.87, 4 Fe 2.87



Record 2
Here is Re3C5 after structural relaxation from the Alexandria database. Energies are from PBE.

Calculated values
The calculation puts the density of states at the Fermi level at 5.1 states/eV per cell. As for the volume: 164.9 Å³/cell. For the formation enthalpy at 0 K, the calculation gives 944 meV/atom.

Unit cell a=7.4788 b=5.1932 c=6.1724 alpha=79.07 beta=58.93 gamma=54.44
With the nearest neighbours (Å) after each atom.
Fractional positions:
C 0.7418 0.8945 0.1384  1 C 1.49
Re 0.1343 0.7985 0.9006  5 C 2.08-2.27
C 0.0149 0.0603 0.6305  2 C 1.49-1.50
C 0.0304 0.8858 0.2760  1 C 1.47
C 0.2991 0.0664 0.8127  1 C 1.48
C 0.1582 0.7955 0.4217  2 C 1.47-1.49
Re 0.1640 0.3689 0.5884  4 C 2.00-2.07
C 0.7860 0.3366 0.6157  1 C 1.50
Re 0.8806 0.6106 0.3612  6 C 2.02-2.13
Re 0.5989 0.1840 0.9087  5 C 2.00-2.15
C 0.6560 0.6780 0.2194  1 C 1.49
C 0.3735 0.2924 0.7467  1 C 1.48
Re 0.6684 0.2822 0.3670  4 C 2.05-2.25
Re 0.4422 0.7883 0.0454  5 C 2.07-2.18
C 0.7905 0.7104 0.7347  4 Re 2.00-2.14, 1 C 2.23
C 0.2611 0.2409 0.2330  4 Re 2.03-2.15



Record 3
Here is Cs2RbTl12In3 after structural relaxation from the Alexandria database. Energies are from PBE.

Calculated values
The calculation puts the density of states at the Fermi level at 9.1 states/eV per cell. As for the volume: 742.5 Å³/cell. For the formation enthalpy at 0 K, the calculation gives 44 meV/atom.

Unit cell a=12.4783 b=12.4783 c=12.4783 alpha=40.61 beta=40.61 gamma=40.61
With the nearest neighbours (Å) after each atom.
Fractional positions:
In 0.5000 0.0000 0.0000  6 Tl 3.17-3.19
In 0.0000 0.0000 0.5000  6 Tl 3.17-3.19
Tl 0.1204 0.1204 0.5344  1 In 3.17, 2 Tl 3.23
Tl 0.8796 0.4656 0.8796  1 In 3.17, 2 Tl 3.23
Cs 0.3576 0.3576 0.3576  6 Tl 3.94-3.98
Tl 0.5846 0.2060 0.5846  2 In 3.19, 6 Tl 3.23-3.42
Tl 0.8796 0.8796 0.4656  1 In 3.17, 2 Tl 3.23
In 0.0000 0.5000 0.0000  6 Tl 3.17-3.19
Rb 0.0000 0.0000 0.0000  6 Tl 3.90
Tl 0.2060 0.5846 0.5846  2 In 3.19, 6 Tl 3.23-3.42
Cs 0.6424 0.6424 0.6424  6 Tl 3.94-3.98
Tl 0.5846 0.5846 0.2060  2 In 3.19, 6 Tl 3.23-3.42
Tl 0.5344 0.1204 0.1204  1 In 3.17, 2 Tl 3.23
Tl 0.4154 0.7940 0.4154  2 In 3.19, 6 Tl 3.23-3.42
Tl 0.7940 0.4154 0.4154  2 In 3.19, 6 Tl 3.23-3.42
Tl 0.4154 0.4154 0.7940  2 In 3.19, 6 Tl 3.23-3.42
Tl 0.1204 0.5344 0.1204  1 In 3.17, 2 Tl 3.23
Tl 0.4656 0.8796 0.8796  1 In 3.17, 2 Tl 3.23



Record 4
Here is Sm3SnGe2 after structural relaxation from the Alexandria database. Energies are from PBE.

Calculated values
The calculation puts the density of states at the Fermi level at 3.9 states/eV per cell. As for the volume: 154.3 Å³/cell. For the formation enthalpy at 0 K, the calculation gives -620 meV/atom.

Unit cell a=4.5027 b=4.2480 c=8.3742 alpha=90.00 beta=105.60 gamma=90.00
With the nearest neighbours (Å) after each atom.
Fractional positions:
Sm 0.5000 0.5000 0.0000  4 Sn 3.10, 4 Ge 3.32
Ge 0.8490 0.5000 0.6981  6 Sm 3.11-3.32, 2 Sn 3.23
Sn 0.0000 0.0000 0.0000  4 Sm 3.10, 4 Ge 3.23
Sm 0.3278 0.0000 0.6555  4 Ge 3.11, 2 Sm 3.37
Ge 0.1510 0.5000 0.3019  6 Sm 3.11-3.32, 2 Sn 3.23
Sm 0.6722 0.0000 0.3445  4 Ge 3.11, 2 Sm 3.37



Record 5
Here is CaErMg6 after structural relaxation from the Alexandria database. Energies are from PBE.

Calculated values
The calculation puts the density of states at the Fermi level at 5.2 states/eV per cell. As for the volume: 206.8 Å³/cell. For the formation enthalpy at 0 K, the calculation gives -49 meV/atom.

Unit cell a=5.1988 b=6.6348 c=6.6348 alpha=115.34 beta=90.00 gamma=90.00
With the nearest neighbours (Å) after each atom.
Fractional positions:
Mg 0.0000 0.6205 0.9372  7 Mg 3.14-3.38, 2 Er 3.31-3.35, 2 Ca 3.32
Mg 0.5000 0.9202 0.0798  8 Mg 3.16-3.37, 2 Er 3.33
Mg 0.5000 0.8828 0.5705  7 Mg 3.16-3.37, 2 Ca 3.28-3.37, 2 Er 3.29
Mg 0.5000 0.4295 0.1172  7 Mg 3.16-3.37, 2 Ca 3.28-3.37, 2 Er 3.29
Er 0.0000 0.1052 0.8948  12 Mg 3.29-3.55
Mg 0.0000 0.0628 0.3795  7 Mg 3.14-3.38, 2 Er 3.31-3.35, 2 Ca 3.32
Ca 0.5000 0.3923 0.6077  12 Mg 3.28-3.56
Mg 0.0000 0.5864 0.4136  8 Mg 3.16-3.38, 2 Ca 3.39



Record 6
Here is AcTlPd3 after structural relaxation from the Alexandria database. Energies are from PBE.

Calculated values
The calculation puts the density of states at the Fermi level at 3.6 states/eV per cell. As for the volume: 224.9 Å³/cell. For the formation enthalpy at 0 K, the calculation gives -537 meV/atom.

Unit cell a=5.7447 b=5.6848 c=7.0423 alpha=90.00 beta=90.00 gamma=102.05
With the nearest neighbours (Å) after each atom.
Fractional positions:
Pd 0.3069 0.6449 0.4409  3 Pd 2.69-2.82, 1 Tl 2.81
Pd 0.6931 0.3551 0.9409  3 Pd 2.69-2.82, 1 Tl 2.81
Tl 0.4153 0.1499 0.2500  5 Pd 2.80-3.11
Ac 0.1762 0.2341 0.7500  6 Pd 2.91-3.20
Tl 0.5847 0.8501 0.7500  5 Pd 2.80-3.11
Pd 0.0255 0.7125 0.7500  4 Pd 2.79-2.82, 1 Tl 2.80, 2 Ac 2.91-3.02
Pd 0.3069 0.6449 0.0591  3 Pd 2.69-2.82, 1 Tl 2.81
Pd 0.6931 0.3551 0.5591  3 Pd 2.69-2.82, 1 Tl 2.81
Ac 0.8238 0.7659 0.2500  6 Pd 2.91-3.20
Pd 0.9745 0.2875 0.2500  4 Pd 2.79-2.82, 1 Tl 2.80, 2 Ac 2.91-3.02



Record 7
Here is KTaCu after structural relaxation from the Alexandria database. Energies are from PBE.

Calculated values
The calculation puts the density of states at the Fermi level at 4.3 states/eV per cell. As for the volume: 73.4 Å³/cell. For the formation enthalpy at 0 K, the calculation gives 1852 meV/atom.

Unit cell a=4.7006 b=4.7006 c=4.7006 alpha=60.00 beta=60.00 gamma=60.00
With the nearest neighbours (Å) after each atom.
Fractional positions:
Cu 0.7500 0.7500 0.7500  4 Ta 2.88, 4 K 2.88
Ta 0.5000 0.5000 0.5000  4 Cu 2.88
K 0.0000 0.0000 0.0000  4 Cu 2.88



Record 8
Here is Ca2AgHg2Pd5 after structural relaxation from the Alexandria database. Energies are from PBE.

Calculated values
The calculation puts the density of states at the Fermi level at 5.4 states/eV per cell. As for the volume: 400.9 Å³/cell. For the formation enthalpy at 0 K, the calculation gives -375 meV/atom.

Unit cell a=4.0737 b=9.9208 c=9.9208 alpha=90.00 beta=90.00 gamma=90.00
With the nearest neighbours (Å) after each atom.
Fractional positions:
Pd 0.5000 0.9391 0.1943  2 Hg 2.78, 3 Pd 2.86-3.09, 2 Ag 2.87
Pd 0.5000 0.0000 0.5000  4 Hg 2.71
Pd 0.5000 0.0609 0.8057  2 Hg 2.78, 3 Pd 2.86-3.09, 2 Ag 2.87
Pd 0.5000 0.1943 0.0609  2 Hg 2.78, 3 Pd 2.86-3.09, 2 Ag 2.87
Ag 0.0000 0.5000 0.5000  8 Pd 2.87
Ag 0.0000 0.0000 0.0000  8 Pd 2.87
Hg 0.0000 0.1279 0.6279  6 Pd 2.71-2.78, 3 Ca 2.81-3.00
Ca 0.0000 0.3282 0.8282  3 Hg 2.81-3.00
Ca 0.0000 0.8282 0.6718  3 Hg 2.81-3.00
Ca 0.0000 0.1718 0.3282  3 Hg 2.81-3.00
Hg 0.0000 0.3721 0.1279  6 Pd 2.71-2.78, 3 Ca 2.81-3.00
Pd 0.5000 0.6943 0.4391  2 Hg 2.78, 3 Pd 2.86-3.09, 2 Ag 2.87
Pd 0.5000 0.3057 0.5609  2 Hg 2.78, 3 Pd 2.86-3.09, 2 Ag 2.87
Ca 0.0000 0.6718 0.1718  3 Hg 2.81-3.00
Hg 0.0000 0.8721 0.3721  6 Pd 2.71-2.78, 3 Ca 2.81-3.00
Hg 0.0000 0.6279 0.8721  6 Pd 2.71-2.78, 3 Ca 2.81-3.00
Pd 0.5000 0.5609 0.6943  2 Hg 2.78, 3 Pd 2.86-3.09, 2 Ag 2.87
Pd 0.5000 0.8057 0.9391  2 Hg 2.78, 3 Pd 2.86-3.09, 2 Ag 2.87
Pd 0.5000 0.4391 0.3057  2 Hg 2.78, 3 Pd 2.86-3.09, 2 Ag 2.87
Pd 0.5000 0.5000 0.0000  4 Hg 2.71



Record 9
Here is CePu2Te5 after structural relaxation from the Alexandria database. Energies are from PBE.

Calculated values
The calculation puts the density of states at the Fermi level at 35.7 states/eV per cell. The value obtained for the uncorrected formation energy is -403.7 meV per atom. As for the volume: 310.8 Å³/cell.

Unit cell a=5.5370 b=7.4922 c=7.4922 alpha=90.00 beta=90.00 gamma=90.00
With the nearest neighbours (Å) after each atom.
Fractional positions:
Te 0.0000 0.7187 0.7187  1 Ce 2.98, 2 Te 3.28
Te 0.0000 0.2813 0.7187  1 Ce 2.98, 2 Te 3.28
Pu 0.5000 0.0000 0.5000  10 Te 3.75-3.85
Pu 0.5000 0.5000 0.0000  10 Te 3.75-3.85
Ce 0.0000 0.0000 0.0000  6 Te 2.77-2.98
Te 0.5000 0.0000 0.0000  2 Ce 2.77
Te 0.0000 0.7187 0.2813  1 Ce 2.98, 2 Te 3.28
Te 0.0000 0.2813 0.2813  1 Ce 2.98, 2 Te 3.28



Record 10
Here is CeHoPuAg after structural relaxation from the Alexandria database. Energies are from PBE.

Calculated values
The calculation puts the density of states at the Fermi level at 13.3 states/eV per cell. As for the volume: 102.1 Å³/cell. For the formation enthalpy at 0 K, the calculation gives 94 meV/atom.

Unit cell a=5.2460 b=5.2460 c=5.2460 alpha=60.00 beta=60.00 gamma=60.00
With the nearest neighbours (Å) after each atom.
Fractional positions:
Ag 0.2500 0.2500 0.2500  4 Ce 3.21, 4 Ho 3.21
Ce 0.5000 0.5000 0.5000  4 Pu 3.21, 4 Ag 3.21
Pu 0.7500 0.7500 0.7500  4 Ce 3.21, 4 Ho 3.21
Ho 0.0000 0.0000 0.0000  4 Ag 3.21, 4 Pu 3.21



Record 11
Here is Li2TiNbNi after structural relaxation from the Alexandria database. Energies are from PBE.

Calculated values
The calculation puts the density of states at the Fermi level at 6.8 states/eV per cell. As for the volume: 94.3 Å³/cell. For the formation enthalpy at 0 K, the calculation gives 1377 meV/atom.

Unit cell a=4.5451 b=4.5629 c=4.5451 alpha=90.00 beta=90.00 gamma=90.00
With the nearest neighbours (Å) after each atom.
Fractional positions:
Li 0.5000 0.0000 0.0000  2 Ti 2.27
Nb 0.0000 0.5000 0.0000  2 Ti 2.28
Li 0.0000 0.0000 0.5000  2 Ti 2.27
Ni 0.5000 0.5000 0.5000  4 Nb 3.21, 8 Li 3.22
Ti 0.0000 0.0000 0.0000  4 Li 2.27, 2 Nb 2.28



Record 12
Here is LaZnBr after structural relaxation from the Alexandria database. Energies are from PBE.

Calculated values
The calculation puts the density of states at the Fermi level at 5.4 states/eV per cell. The value obtained for the uncorrected formation energy is -1071.1 meV per atom. As for the volume: 189.5 Å³/cell.

Unit cell a=4.3708 b=4.3708 c=11.7283 alpha=79.26 beta=79.26 gamma=60.00
With the nearest neighbours (Å) after each atom.
Fractional positions:
Br 0.7194 0.7194 0.8417  3 La 3.13
Br 0.2806 0.2806 0.1583  3 La 3.13
La 0.4398 0.4398 0.6805  3 Br 3.13, 6 Zn 3.22-3.30
Zn 0.1649 0.1649 0.5053  3 Zn 2.53
Zn 0.8351 0.8351 0.4947  3 Zn 2.53
La 0.5602 0.5602 0.3195  3 Br 3.13, 6 Zn 3.22-3.30